Below is an optimized crystal structure of ReOs2Pb, with properties calculated at the PBEsol level.

a = 2.972 Å, b = 4.628 Å, c = 4.685 Å
α = 90.00°, β = 90.00°, γ = 90.00°
Space group Pmmm (No. 47)
Unique sites:
Re (0.000, 0.000, 0.000) [1 per cell]
Os (0.000, 0.500, 0.500) [1 per cell]
Os (0.500, 0.500, 0.000) [1 per cell]
Pb (0.500, 0.000, 0.500) [1 per cell]

Computed properties:
E_form, eV per formula unit: 4.37